Entry 1:
{
  "formula": "NaPaRhO6",
  "functional": "PBE-GGA",
  "state": "optimized geometry",
  "lattice": [[4.757, 0.000, 0.000], [0.000, 5.356, 0.000], [0.000, -2.678, 4.638]],
  "species": ["Na", "Pa", "Rh", "O", "O", "O", "O", "O", "O"],
  "frac_coords": [[0.500, 0.667, 0.333], [0.000, 0.333, 0.667], [0.500, 0.000, 0.000], [0.740, 0.690, 0.715], [0.740, 0.285, 0.975], [0.740, 0.025, 0.310], [0.260, 0.285, 0.310], [0.260, 0.690, 0.975], [0.260, 0.025, 0.715]],
  "e_form_raw_ev_per_atom": -1.760,
  "volume_a3_per_atom": 13.1,
  "total_magnetization_mub_per_fu": 2.178
}

Entry 2:
{
  "formula": "LiGa5Ag3",
  "functional": "PBE-GGA",
  "state": "optimized geometry",
  "lattice": [[6.735, -0.814, 1.330], [1.061, 6.701, 1.330], [4.045, 3.054, 9.662]],
  "species": ["Li", "Li", "Ga", "Ga", "Ga", "Ga", "Ga", "Ga", "Ga", "Ga", "Ga", "Ga", "Ag", "Ag", "Ag", "Ag", "Ag", "Ag"],
  "frac_coords": [[0.018, 0.018, 0.738], [0.982, 0.982, 0.262], [0.955, 0.437, 0.406], [0.265, 0.735, 0.000], [0.684, 0.684, 0.072], [0.356, 0.356, 0.398], [0.644, 0.644, 0.602], [0.316, 0.316, 0.928], [0.437, 0.955, 0.406], [0.735, 0.265, 0.000], [0.045, 0.563, 0.594], [0.563, 0.045, 0.594], [0.684, 0.684, 0.833], [0.667, 0.667, 0.330], [0.000, 0.000, 0.000], [0.000, 0.000, 0.500], [0.316, 0.316, 0.167], [0.333, 0.333, 0.670]],
  "ef_ev_per_atom": 0.073,
  "volume_a3_per_atom": 21.2,
  "total_magnetization_mub_per_fu": 0.000
}

Entry 3:
{
  "formula": "Be2Si2B",
  "functional": "PBE-GGA",
  "state": "optimized geometry",
  "lattice": [[-2.438, -1.278, -0.852], [0.664, -2.319, 1.576], [-3.927, 0.699, 5.316]],
  "species": ["Be", "Be", "Si", "Si", "B"],
  "frac_coords": [[0.750, 0.250, 0.500], [0.250, 0.750, 0.500], [0.405, 0.405, 0.191], [0.595, 0.595, 0.809], [0.000, 0.000, 0.000]],
  "polymorph_energy_mev_per_atom": 61.5,
  "e_form_raw_ev_per_atom": 0.789,
  "volume_a3_per_atom": 10.5,
  "total_magnetization_mub_per_fu": 0.000
}

Entry 4:
{
  "formula": "YTl2Si",
  "functional": "PBE-GGA",
  "state": "optimized geometry",
  "lattice": [[-2.385, 2.262, -1.845], [-2.551, -0.309, 2.918], [2.774, 5.367, 2.992]],
  "species": ["Si", "Tl", "Tl", "Y"],
  "frac_coords": [[0.500, 0.500, 0.750], [0.000, 0.000, 0.974], [0.000, 0.000, 0.526], [0.500, 0.500, 0.250]],
  "polymorph_energy_mev_per_atom": 201.1,
  "e_form_raw_ev_per_atom": 0.079,
  "volume_a3_per_atom": 24.7,
  "total_magnetization_mub_per_fu": 0.057
}

Entry 5:
{
  "formula": "Hf5P7Pd9",
  "functional": "PBE-GGA",
  "state": "optimized geometry",
  "lattice": [[-10.899, -5.457, -6.335], [10.523, -0.595, 8.809], [-2.244, 1.270, 2.767]],
  "species": ["Hf", "Hf", "Hf", "Hf", "Hf", "P", "P", "P", "P", "P", "P", "P", "Pd", "Pd", "Pd", "Pd", "Pd", "Pd", "Pd", "Pd", "Pd"],
  "frac_coords": [[0.928, 0.469, 0.500], [0.469, 0.928, 0.500], [0.467, 0.467, 0.000], [0.000, 0.176, 0.000], [0.176, 0.000, 0.000], [0.749, 0.037, 0.500], [0.037, 0.749, 0.500], [0.304, 0.439, 0.500], [0.439, 0.304, 0.500], [0.195, 0.626, 0.000], [0.626, 0.195, 0.000], [0.864, 0.864, 0.000], [0.678, 0.796, 0.500], [0.152, 0.465, 0.500], [0.224, 0.832, 0.000], [0.832, 0.224, 0.000], [0.112, 0.112, 0.500], [0.789, 0.507, 0.000], [0.507, 0.789, 0.000], [0.465, 0.152, 0.500], [0.796, 0.678, 0.500]],
  "ef_ev_per_atom": -0.885,
  "volume_a3_per_atom": 15.7,
  "total_magnetization_mub_per_fu": 0.000
}

Entry 6:
{
  "formula": "UPaAsN2",
  "functional": "PBE-GGA",
  "state": "optimized geometry",
  "lattice": [[3.812, 0.000, 0.000], [0.000, 3.812, 0.000], [-1.906, -1.906, 5.981]],
  "species": ["U", "Pa", "As", "N", "N"],
  "frac_coords": [[0.150, 0.150, 0.299], [0.851, 0.851, 0.703], [0.499, 0.499, 0.999], [0.750, 0.250, 0.499], [0.250, 0.750, 0.499]],
  "e_form_raw_ev_per_atom": -1.413,
  "volume_a3_per_atom": 17.4,
  "total_magnetization_mub_per_fu": 1.976
}

Q: Which formula does entry 4 have?
A: YTl2Si